No. 1
NbCu3F after structural relaxation, computed with PBE.

a = 4.8500 Å, b = 4.8500 Å, c = 4.8500 Å
α = 90.00°, β = 90.00°, γ = 90.00°
Sites, in units of the cell vectors:
1 Cu 0.0000 0.5000 0.0000
2 Cu 0.5000 0.0000 0.0000
3 Cu 0.0000 0.0000 0.5000
4 F 0.5000 0.5000 0.5000
5 Nb 0.0000 0.0000 0.0000

space group = Pm-3m, No. 221
total magnetization = 0.000 Bohr magnetons per cell
E = -0.258 Ry per atom
E above lowest polymorph = 0.8768 eV/atom

No. 2
Co6Pt16Rh7 after structural relaxation, computed with PBE.

a = 8.7279 Å, b = 8.7243 Å, c = 8.7198 Å
α = 60.04°, β = 60.00°, γ = 59.95°
Last column: magnetic moment on the atom in μB.
Sites, in units of the cell vectors:
1 Pt 0.3657 0.8782 0.8781  0.13
2 Pt 0.1218 0.6343 0.1220  0.13
3 Pt 0.6509 0.6508 0.0472  0.23
4 Pt 0.6343 0.1218 0.1219  0.13
5 Pt 0.6510 0.0472 0.6508  0.23
6 Pt 0.6508 0.6509 0.6510  0.23
7 Pt 0.3490 0.9528 0.3492  0.23
8 Pt 0.0472 0.6510 0.6509  0.23
9 Pt 0.8780 0.8781 0.8782  0.13
10 Pt 0.1219 0.1220 0.6343  0.13
11 Pt 0.3492 0.3491 0.3490  0.23
12 Pt 0.3491 0.3492 0.9528  0.23
13 Pt 0.8781 0.8780 0.3657  0.13
14 Pt 0.8782 0.3657 0.8780  0.13
15 Pt 0.9528 0.3490 0.3491  0.23
16 Pt 0.1220 0.1219 0.1218  0.13
17 Co 0.3581 0.6419 0.6419  2.04
18 Co 0.6419 0.3581 0.3581  2.04
19 Co 0.6417 0.6417 0.3583  2.04
20 Co 0.3582 0.6418 0.3582  2.04
21 Co 0.6418 0.3582 0.6418  2.04
22 Co 0.3583 0.3583 0.6417  2.04
23 Rh 0.5000 0.5000 0.0000  0.31
24 Rh 0.0000 0.5000 0.0000  0.31
25 Rh 0.5000 0.0000 0.5000  0.31
26 Rh 0.0000 0.5000 0.5000  0.31
27 Rh 0.0000 0.0000 0.5000  0.31
28 Rh 0.5000 0.0000 0.0000  0.31
29 Rh 0.0000 0.0000 0.0000  -0.10

ΔH_f (0 K) = 305 meV/atom
space group = Fmmm, No. 69
total magnetization = 16.879 Bohr magnetons per cell
E = -0.461 Ry per atom

No. 3
PuGaSi after structural relaxation, computed with PBE.

a = 3.5836 Å, b = 4.3235 Å, c = 4.3235 Å
α = 120.00°, β = 90.00°, γ = 90.00°
Last column: magnetic moment on the atom in μB.
Sites, in units of the cell vectors:
1 Si 0.1666 0.6667 0.3333  -0.03
2 Ga 0.1667 0.0000 0.0000  0.00
3 Pu 0.6667 0.3333 0.6667  5.13

space group = P-6m2, No. 187
total magnetization = 5.377 Bohr magnetons per cell
E = -0.585 Ry per atom

No. 4
Y3FeH after structural relaxation, computed with PBE.

a = 4.6682 Å, b = 4.6682 Å, c = 4.6682 Å
α = 90.00°, β = 90.00°, γ = 90.00°
Sites, in units of the cell vectors:
1 Y 0.0000 0.5000 0.0000
2 Y 0.5000 0.0000 0.0000
3 Y 0.0000 0.0000 0.5000
4 H 0.0000 0.0000 0.0000
5 Fe 0.5000 0.5000 0.5000

space group = Pm-3m, No. 221
total magnetization = 0.000 Bohr magnetons per cell
E = -0.443 Ry per atom
E above lowest polymorph = 0.0000 eV/atom